# 1
! PrScU, optimized geometry, DFT PBE; values from VASP
! * formation energy: 1.20 eV per atom
! * magnetic moment: 3.6 μB per formula unit
! * crystal system: cubic
! * excess energy over the best structure of this formula in the dataset: 0.00 eV per formula unit
&SYSTEM
  ibrav = 0, nat = 3, ntyp = 3
/
ATOMIC_SPECIES
Sc 44.96 Sc.upf
Pr 140.91 Pr.upf
U 238.03 U.upf
CELL_PARAMETERS angstrom
-1.2872 2.6327 4.2304
-4.0431 3.1829 -0.0808
-4.2825 -1.2140 2.5827
ATOMIC_POSITIONS crystal
Sc 0.0000 0.0000 0.0000
Pr 0.2500 0.2500 0.2500
U 0.7500 0.7500 0.7500

---

# 2
! DyZnNi, optimized geometry, DFT PBE; values from VASP
! * formation energy: -0.42 eV per atom
! * magnetic moment: 0.0 μB per formula unit
! * crystal system: hexagonal
&SYSTEM
  ibrav = 0, nat = 6, ntyp = 3
/
ATOMIC_SPECIES
Dy 162.50 Dy.upf
Ni 58.69 Ni.upf
Zn 65.41 Zn.upf
CELL_PARAMETERS angstrom
-1.6366 -0.4036 -3.8896
2.4968 -3.0423 1.5752
-5.6913 -3.2561 2.7326
ATOMIC_POSITIONS crystal
Dy 0.0000 0.0000 0.5000
Dy 0.0000 0.0000 0.0000
Ni 0.6667 0.3333 0.2500
Ni 0.3333 0.6667 0.7500
Zn 0.3333 0.6667 0.2500
Zn 0.6667 0.3333 0.7500

---

# 3
! GaCo9, optimized geometry, DFT PBE; values from VASP
! * magnetic moment: 0.1 μB per formula unit
! * crystal system: orthorhombic
! * excess energy over the best structure of this formula in the dataset: 0.81 eV per formula unit
&SYSTEM
  ibrav = 0, nat = 20, ntyp = 2
/
ATOMIC_SPECIES
Co 58.93 Co.upf
Ga 69.72 Ga.upf
CELL_PARAMETERS angstrom
-2.2196 -0.0651 -1.0401
1.0986 -2.4112 -2.1934
-10.5569 -26.8304 24.2065
ATOMIC_POSITIONS crystal
Co 0.0000 0.0000 0.8873
Co 0.5000 0.5000 0.9839
Co 0.5000 0.5000 0.7254
Co 0.0000 0.0000 0.2746
Co 0.5000 0.5000 0.0482
Co 0.0000 0.0000 0.1448
Co 0.5000 0.5000 0.1768
Co 0.0000 0.0000 0.7585
Co 0.0000 0.0000 0.8232
Co 0.5000 0.5000 0.1127
Co 0.0000 0.0000 0.9518
Co 0.0000 0.0000 0.0803
Co 0.0000 0.0000 0.0161
Co 0.5000 0.5000 0.9197
Co 0.5000 0.5000 0.2415
Co 0.5000 0.5000 0.7902
Co 0.5000 0.5000 0.8552
Co 0.0000 0.0000 0.2098
Ga 0.5000 0.5000 0.3094
Ga 0.0000 0.0000 0.6906

---

no.,total DFT energy (no corrections) (eV per atom)
1,-6.27
2,-4.23
3,-6.50